Material: Ba2TlPd5Au2
Method: DFT, PBE
State: optimized geometry

Values from the calculation:
Total energy = -4.2589 eV/atom
Total magnetic moment = 0.00 μB per atom
Space group = P4/mbm (127)

Cell lengths 10.4193, 10.4193, 4.0843 Å; angles 90.00, 90.00, 90.00 degrees
Fractional coordinates of all 20 atoms:
Ba: 0.1748 0.3252 0.0000
Ba: 0.3252 0.8252 0.0000
Ba: 0.6748 0.1748 0.0000
Ba: 0.8252 0.6748 0.0000
Tl: 0.0000 0.0000 0.0000
Tl: 0.5000 0.5000 0.0000
Pd: 0.0000 0.5000 0.5000
Pd: 0.0585 0.8011 0.5000
Pd: 0.1989 0.0585 0.5000
Pd: 0.3011 0.5585 0.5000
Pd: 0.4415 0.3011 0.5000
Pd: 0.5000 0.0000 0.5000
Pd: 0.5585 0.6989 0.5000
Pd: 0.6989 0.4415 0.5000
Pd: 0.8011 0.9415 0.5000
Pd: 0.9415 0.1989 0.5000
Au: 0.1237 0.6237 0.0000
Au: 0.3763 0.1237 0.0000
Au: 0.6237 0.8763 0.0000
Au: 0.8763 0.3763 0.0000